[1]
A plane-wave DFT calculation with PBE was carried out for an optimized crystal structure of CrCu2W.

Unit cell a=2.564 b=3.810 c=5.388 alpha=90.00 beta=90.00 gamma=90.00
Space group Pmm2 (No. 25)
One atom of each set of equivalent atoms:
Cr  0.000  0.000  0.000 [1 per cell]
Cu  0.000  0.000  0.477 [1 per cell]
Cu  0.500  0.500  0.253 [1 per cell]
W  0.500  0.500  0.750 [1 per cell]

Computed properties:
**Mass density**: 11.5 Mg/m³
**Uncorrected energy**: -29.46 eV for the cell shown


[2]
A plane-wave DFT calculation with PBE was carried out for an optimized crystal structure of Sn4Te3Se.

Unit cell a=7.729 b=8.922 c=7.734 alpha=90.00 beta=109.46 gamma=90.00
Space group P2/c (No. 13)
One atom of each set of equivalent atoms:
Sn  0.238  0.119  0.003 [4 per cell]
Sn  0.245  0.368  0.492 [4 per cell]
Te  0.000  0.375  0.750 [2 per cell]
Te  0.500  0.125  0.750 [2 per cell]
Te  0.500  0.375  0.250 [2 per cell]
Se  0.000  0.125  0.250 [2 per cell]

Computed properties:
**Mass density**: 6.2 Mg/m³
**Energy relative to the elements, uncorrected**: -0.3155 eV per atom
**Uncorrected energy**: -62.89 eV for the cell shown


no.,Fermi-level density of states (states/eV per atom)
1,0.708
2,0.052